# Ho2Al3Zn4 PBE optimized geometry
# Calculated formation energy, eV/atom: -0.32
# VASP energy, eV/atom: -3.15
# Magnetic moment, μB per atom: 0.00
data_Ho2Al3Zn4
_cell_length_a 5.7303
_cell_length_b 15.3170
_cell_length_c 7.6272
_cell_angle_alpha 90.00
_cell_angle_beta 90.00
_cell_angle_gamma 90.00
_space_group_name_H-M_alt 'C m c e'
_space_group_IT_number 64
_space_group_name_Hall '-C 2ac 2'
loop_
_atom_site_label
_atom_site_type_symbol
_atom_site_fract_x
_atom_site_fract_y
_atom_site_fract_z
Ho1 Ho 0.0000 0.1046 0.0992
Al1 Al 0.0000 0.0000 0.5000
Al2 Al 0.2500 0.2331 0.7500
Zn1 Zn 0.0000 0.1730 0.4822
Zn2 Zn 0.2500 0.0648 0.7500